A relaxed structure of Ir2Pd2Pb, computed with PBE.

Summary:
total moment: 0.0005 μB per atom
mass density: 15.0 Mg/m³
calculated total energy: -6.0106 eV/atom
formation energy: 0.35 eV/atom
crystal system: tetragonal

Unit cell a=6.995 b=6.995 c=3.642 alpha=90.00 beta=90.00 gamma=90.00
Atoms (fractional coordinates):
Ir  0.627  0.127  0.000
Ir  0.373  0.873  0.000
Ir  0.873  0.627  0.000
Ir  0.127  0.373  0.000
Pd  0.167  0.667  0.500
Pd  0.333  0.167  0.500
Pd  0.667  0.833  0.500
Pd  0.833  0.333  0.500
Pb  0.000  0.000  0.000
Pb  0.500  0.500  0.000

=====

A relaxed structure of Zr2TiMn, computed with PBE.

Summary:
total moment: 0.1204 μB per atom
mass density: 6.2 Mg/m³
calculated total energy: -8.1273 eV/atom
formation energy: 0.41 eV/atom
crystal system: tetragonal

Unit cell a=7.266 b=7.266 c=5.890 alpha=51.92 beta=51.92 gamma=90.00
Atoms (fractional coordinates):
Zr  0.086  0.625  0.250
Zr  0.875  0.914  0.750
Zr  0.664  0.125  0.250
Zr  0.375  0.336  0.750
Ti  0.500  0.500  0.000
Ti  0.250  0.750  0.500
Mn  0.750  0.250  0.500
Mn  0.000  0.000  0.000

=====

A relaxed structure of LaDy2Pt, computed with PBE.

Summary:
total moment: 0.0000 μB per atom
mass density: 9.6 Mg/m³
calculated total energy: -5.7165 eV/atom
formation energy: -0.67 eV/atom
crystal system: orthorhombic

Unit cell a=4.891 b=6.657 c=7.547 alpha=90.00 beta=90.00 gamma=111.57
Atoms (fractional coordinates):
Dy  0.652  0.305  0.032
Dy  0.652  0.305  0.468
Dy  0.348  0.695  0.532
Dy  0.348  0.695  0.968
La  0.043  0.086  0.750
La  0.957  0.914  0.250
Pt  0.194  0.388  0.250
Pt  0.806  0.612  0.750

=====

A relaxed structure of Pr2Ni4Ge3Pt, computed with PBE.

Summary:
total moment: 0.0000 μB per atom
mass density: 9.0 Mg/m³
calculated total energy: -5.9001 eV/atom
formation energy: -0.64 eV/atom
crystal system: tetragonal

Unit cell a=4.166 b=4.166 c=9.917 alpha=90.00 beta=90.00 gamma=90.00
Atoms (fractional coordinates):
Pt  0.500  0.500  0.500
Ni  0.000  0.000  0.000
Ni  0.500  0.000  0.640
Ni  0.500  0.500  0.000
Ni  0.000  0.500  0.360
Pr  0.000  0.500  0.749
Pr  0.500  0.000  0.251
Ge  0.000  0.500  0.121
Ge  0.000  0.000  0.500
Ge  0.500  0.000  0.879

=====

A relaxed structure of Ce3PrIn2, computed with PBE.

Summary:
total moment: 0.0794 μB per atom
mass density: 7.7 Mg/m³
calculated total energy: -4.9763 eV/atom
formation energy: -0.30 eV/atom
crystal system: triclinic

Unit cell a=6.731 b=9.275 c=13.843 alpha=24.47 beta=90.90 gamma=83.48
Atoms (fractional coordinates):
Pr  0.279  0.256  0.762
Pr  0.721  0.744  0.238
Ce  0.946  0.563  0.774
Ce  0.854  0.225  0.136
Ce  0.616  0.902  0.768
Ce  0.146  0.775  0.864
Ce  0.054  0.437  0.226
Ce  0.384  0.098  0.232
In  0.221  0.681  0.293
In  0.564  0.362  0.272
In  0.779  0.319  0.707
In  0.436  0.638  0.728

=====

A relaxed structure of TlPbIBr2, computed with PBE.

Summary:
E_form (uncorrected): -170 meV per atom
total moment: 0.0000 μB per atom
mass density: 5.9 Mg/m³
calculated total energy: -2.3640 eV/atom
crystal system: tetragonal

Unit cell a=5.504 b=6.540 c=5.504 alpha=90.00 beta=90.00 gamma=90.00
Atoms (fractional coordinates):
Pb  0.000  0.500  0.000
Br  0.500  0.000  0.000
Br  0.000  0.000  0.500
I  0.500  0.500  0.500
Tl  0.000  0.000  0.000

=====

A relaxed structure of MgCdAs2, computed with PBE.

Summary:
total moment: 0.0000 μB per atom
mass density: 5.7 Mg/m³
calculated total energy: -2.9483 eV/atom
formation energy: 0.00 eV/atom
crystal system: tetragonal

Unit cell a=5.917 b=5.917 c=5.917 alpha=140.49 beta=140.49 gamma=57.11
Atoms (fractional coordinates):
Cd  0.500  0.500  0.000
As  0.250  0.750  0.500
As  0.000  0.000  0.000
Mg  0.750  0.250  0.500

=====

A relaxed structure of Ac2MnTlS6, computed with PBE.

Summary:
E_form (uncorrected): -1249 meV per atom
total moment: 0.3999 μB per atom
mass density: 6.2 Mg/m³
calculated total energy: -5.7003 eV/atom
crystal system: monoclinic

Unit cell a=6.516 b=7.676 c=9.757 alpha=90.00 beta=88.47 gamma=90.00
Atoms (fractional coordinates):
Mn  0.500  0.000  0.500
Mn  0.000  0.500  0.000
Tl  0.000  0.500  0.500
Tl  0.500  0.000  0.000
S  0.390  0.984  0.729
S  0.325  0.677  0.447
S  0.675  0.323  0.553
S  0.299  0.661  0.047
S  0.175  0.177  0.053
S  0.701  0.339  0.953
S  0.201  0.161  0.453
S  0.610  0.016  0.271
S  0.110  0.484  0.771
S  0.825  0.823  0.947
S  0.799  0.839  0.547
S  0.890  0.516  0.229
Ac  0.458  0.387  0.246
Ac  0.042  0.887  0.254
Ac  0.542  0.613  0.754
Ac  0.958  0.113  0.746

=====

A relaxed structure of CaAg2Te, computed with PBE.

Summary:
E_form (uncorrected): -400 meV per atom
total moment: 0.0000 μB per atom
mass density: 6.6 Mg/m³
calculated total energy: -3.1118 eV/atom
crystal system: tetragonal

Unit cell a=5.911 b=5.911 c=5.911 alpha=136.73 beta=136.74 gamma=62.85
Atoms (fractional coordinates):
Te  0.750  0.250  0.500
Ca  0.250  0.750  0.500
Ag  0.000  0.000  0.000
Ag  0.500  0.500  0.000

=====

A relaxed structure of BaScAs2S8, computed with PBE.

Summary:
E_form (uncorrected): -646 meV per atom
total moment: 0.0491 μB per atom
mass density: 3.3 Mg/m³
calculated total energy: -4.8605 eV/atom
crystal system: trigonal

Unit cell a=6.127 b=6.127 c=9.058 alpha=90.00 beta=90.00 gamma=120.00
Atoms (fractional coordinates):
As  0.333  0.667  0.741
As  0.667  0.333  0.259
S  0.983  0.318  0.681
S  0.318  0.335  0.319
S  0.333  0.667  0.982
S  0.667  0.333  0.018
S  0.335  0.017  0.681
S  0.665  0.983  0.319
S  0.017  0.682  0.319
S  0.682  0.665  0.681
Sc  0.000  0.000  0.500
Ba  0.000  0.000  0.000

=====

A relaxed structure of Ho3HgRu, computed with PBE.

Summary:
total moment: 0.0000 μB per atom
mass density: 10.6 Mg/m³
calculated total energy: -5.0875 eV/atom
formation energy: -0.43 eV/atom
crystal system: triclinic

Unit cell a=5.508 b=6.439 c=8.617 alpha=111.94 beta=79.92 gamma=117.88
Atoms (fractional coordinates):
Hg  0.592  0.245  0.499
Hg  0.408  0.755  0.501
Ru  0.000  0.249  0.998
Ru  0.000  0.751  0.002
Ho  0.500  0.196  0.893
Ho  0.500  0.804  0.107
Ho  0.861  0.581  0.274
Ho  0.139  0.194  0.274
Ho  0.861  0.806  0.726
Ho  0.139  0.419  0.726

=====

A relaxed structure of Sr2TiP2, computed with PBE.

Summary:
total moment: 0.4020 μB per atom
mass density: 3.3 Mg/m³
calculated total energy: -4.2611 eV/atom
formation energy: 0.15 eV/atom
crystal system: tetragonal

Unit cell a=5.493 b=5.493 c=6.126 alpha=63.36 beta=63.36 gamma=90.00
Atoms (fractional coordinates):
P  0.250  0.750  0.500
P  0.750  0.250  0.500
Ti  0.000  0.000  0.000
Sr  0.665  0.665  0.671
Sr  0.335  0.335  0.329

=====

A relaxed structure of La6Sb2As3Br, computed with PBE.

Summary:
E_form (uncorrected): -1490 meV per atom
total moment: 0.0000 μB per atom
mass density: 6.1 Mg/m³
calculated total energy: -5.9425 eV/atom
crystal system: monoclinic

Unit cell a=4.444 b=8.982 c=10.013 alpha=103.87 beta=102.82 gamma=90.00
Atoms (fractional coordinates):
Sb  0.164  0.328  0.328
Sb  0.836  0.672  0.672
La  0.673  0.075  0.346
La  0.664  0.591  0.328
La  0.995  0.269  0.991
La  0.005  0.731  0.009
La  0.336  0.409  0.672
La  0.327  0.925  0.654
As  0.834  0.166  0.669
As  0.500  0.500  0.000
As  0.166  0.834  0.331
Br  0.500  0.000  0.000

=====

A relaxed structure of MnSiSb2, computed with PBE.

Summary:
E_form (uncorrected): 383 meV per atom
total moment: 0.9839 μB per atom
mass density: 5.9 Mg/m³
calculated total energy: -5.3268 eV/atom
crystal system: monoclinic

Unit cell a=5.224 b=4.923 c=4.699 alpha=71.15 beta=73.10 gamma=113.07
Atoms (fractional coordinates):
Sb  0.000  0.000  0.000
Sb  0.500  0.000  0.500
Mn  0.500  0.500  0.000
Si  0.000  0.500  0.500

=====

A relaxed structure of Li5Cu6, computed with PBE.

Summary:
total moment: 0.0000 μB per atom
mass density: 4.6 Mg/m³
calculated total energy: -3.0577 eV/atom
formation energy: 0.05 eV/atom
crystal system: monoclinic

Unit cell a=4.743 b=7.468 c=6.214 alpha=53.06 beta=71.59 gamma=58.29
Atoms (fractional coordinates):
Li  0.000  0.359  0.283
Li  0.500  0.235  0.531
Li  0.500  0.500  0.000
Li  0.000  0.641  0.717
Li  0.500  0.765  0.469
Cu  0.965  0.302  0.754
Cu  0.035  0.698  0.246
Cu  0.499  0.838  0.000
Cu  0.501  0.162  0.000
Cu  0.965  0.055  0.246
Cu  0.035  0.945  0.754

=====

A relaxed structure of LaInHg2, computed with PBE.

Summary:
total moment: 0.0000 μB per atom
mass density: 9.0 Mg/m³
calculated total energy: -2.2900 eV/atom
formation energy: -0.22 eV/atom
crystal system: tetragonal

Unit cell a=4.823 b=4.823 c=10.985 alpha=77.32 beta=77.32 gamma=90.00
Atoms (fractional coordinates):
Hg  0.375  0.422  0.750
Hg  0.875  0.828  0.750
Hg  0.172  0.625  0.250
Hg  0.578  0.125  0.250
In  0.250  0.750  0.500
In  0.500  0.500  0.000
La  0.000  0.000  0.000
La  0.750  0.250  0.500

=====

A relaxed structure of Ba2BPd, computed with PBE.

Summary:
total moment: 0.3023 μB per atom
mass density: 5.0 Mg/m³
calculated total energy: -3.3589 eV/atom
formation energy: 0.57 eV/atom
crystal system: tetragonal

Unit cell a=8.196 b=8.196 c=6.981 alpha=54.06 beta=54.06 gamma=90.00
Atoms (fractional coordinates):
B  0.250  0.750  0.500
B  0.500  0.500  0.000
Pd  0.750  0.250  0.500
Pd  0.000  0.000  0.000
Ba  0.609  0.125  0.250
Ba  0.141  0.625  0.250
Ba  0.875  0.859  0.750
Ba  0.375  0.391  0.750

=====

A relaxed structure of ZrBeOs2, computed with PBE.

Summary:
total moment: 0.0000 μB per atom
mass density: 13.6 Mg/m³
calculated total energy: -8.7251 eV/atom
formation energy: -0.04 eV/atom
crystal system: orthorhombic

Unit cell a=4.968 b=4.968 c=4.968 alpha=144.45 beta=123.13 gamma=68.89
Atoms (fractional coordinates):
Be  0.750  0.250  0.500
Os  0.970  0.970  0.000
Os  0.530  0.530  0.000
Zr  0.250  0.750  0.500

=====

A relaxed structure of NpTl2Te2I2, computed with PBE.

Summary:
E_form (uncorrected): -545 meV per atom
total moment: 0.4283 μB per atom
mass density: 6.2 Mg/m³
calculated total energy: -4.4101 eV/atom
crystal system: tetragonal

Unit cell a=5.963 b=5.963 c=9.627 alpha=108.04 beta=108.04 gamma=90.00
Atoms (fractional coordinates):
Tl  0.382  0.382  0.763
Tl  0.618  0.618  0.237
I  0.825  0.825  0.650
I  0.175  0.175  0.350
Te  0.500  0.000  0.000
Te  0.000  0.500  0.000
Np  0.000  0.000  0.000

=====

A relaxed structure of Ac5Mg3, computed with PBE.

Summary:
total moment: 0.0000 μB per atom
mass density: 6.7 Mg/m³
calculated total energy: -3.2192 eV/atom
formation energy: -0.05 eV/atom
crystal system: tetragonal

Unit cell a=4.104 b=4.104 c=17.905 alpha=90.00 beta=90.00 gamma=90.00
Atoms (fractional coordinates):
Mg  0.500  0.500  0.115
Mg  0.500  0.500  0.885
Mg  0.000  0.000  0.500
Ac  0.000  0.000  0.230
Ac  0.000  0.000  0.770
Ac  0.500  0.500  0.616
Ac  0.500  0.500  0.384
Ac  0.000  0.000  0.000

=====

A relaxed structure of KSc2CuI8, computed with PBE.

Summary:
E_form (uncorrected): -1037 meV per atom
total moment: 0.0046 μB per atom
mass density: 3.6 Mg/m³
calculated total energy: -3.5584 eV/atom
crystal system: triclinic

Unit cell a=8.280 b=9.592 c=8.611 alpha=98.15 beta=89.00 gamma=56.01
Atoms (fractional coordinates):
Sc  0.515  0.513  0.757
Sc  0.485  0.487  0.243
I  0.917  0.352  0.734
I  0.927  0.245  0.200
I  0.514  0.701  0.508
I  0.490  0.718  0.057
I  0.510  0.282  0.943
I  0.073  0.755  0.800
I  0.486  0.299  0.492
I  0.083  0.648  0.266
Cu  0.000  0.000  0.000
K  0.000  0.000  0.500

=====

A relaxed structure of CuAsPdRh, computed with PBE.

Summary:
total moment: 0.0001 μB per atom
mass density: 10.1 Mg/m³
calculated total energy: -5.4840 eV/atom
formation energy: -0.16 eV/atom
crystal system: cubic

Unit cell a=4.330 b=4.330 c=4.330 alpha=60.00 beta=60.00 gamma=60.00
Atoms (fractional coordinates):
Cu  0.250  0.250  0.250
Pd  0.500  0.500  0.500
As  0.750  0.750  0.750
Rh  0.000  0.000  0.000

=====

A relaxed structure of Tl2H4Pt, computed with PBE.

Summary:
total moment: 0.0000 μB per atom
mass density: 10.3 Mg/m³
calculated total energy: -3.4450 eV/atom
crystal system: tetragonal

Unit cell a=3.706 b=3.706 c=7.605 alpha=75.90 beta=75.90 gamma=90.00
Atoms (fractional coordinates):
H  0.883  0.883  0.234
H  0.500  0.000  0.000
H  0.000  0.500  0.000
H  0.117  0.117  0.766
Pt  0.000  0.000  0.000
Tl  0.347  0.347  0.305
Tl  0.653  0.653  0.695

=====

A relaxed structure of Sm3Dy4Pt4, computed with PBE.

Summary:
total moment: 0.0000 μB per atom
mass density: 11.2 Mg/m³
calculated total energy: -6.0434 eV/atom
formation energy: -0.89 eV/atom
crystal system: orthorhombic

Unit cell a=4.567 b=7.857 c=9.018 alpha=115.82 beta=104.67 gamma=90.00
Atoms (fractional coordinates):
Dy  0.671  0.460  0.341
Dy  0.329  0.540  0.659
Dy  0.671  0.881  0.341
Dy  0.329  0.119  0.659
Pt  0.210  0.710  0.419
Pt  0.500  0.184  0.000
Pt  0.500  0.816  0.000
Pt  0.790  0.290  0.581
Sm  0.000  0.500  0.000
Sm  0.899  0.899  0.797
Sm  0.101  0.101  0.203